[1]
# TcAsSe2 | Alexandria | PBE-GGA | optimized geometry
data_TcAsSe2
_chemical_formula_sum 'Tc2 As2 Se4'
_cell_length_a 3.0618
_cell_length_b 4.9442
_cell_length_c 10.0193
_cell_angle_alpha 90.00
_cell_angle_beta 90.00
_cell_angle_gamma 90.00
_symmetry_space_group_name_H-M 'C m m m'
_symmetry_Int_Tables_number 65
_symmetry_space_group_name_Hall '-C 2 2'
loop_
_atom_site_label
_atom_site_fract_x
_atom_site_fract_y
_atom_site_fract_z
Tc1 0.0000 0.0000 0.0000
As1 0.0000 0.0000 0.5000
Se1 0.0000 0.5000 0.2051
# Energy relative to the elements, uncorrected ... 1.687 eV per formula unit
# Total DFT energy (no corrections) ... -5.07 eV per atom
# M_tot ... 0.0 Bohr magnetons per cell

---

[2]
# TcAsSe2 | Alexandria | PBE-GGA | optimized geometry
data_TcAsSe2
_chemical_formula_sum 'Tc2 As2 Se4'
_cell_length_a 4.7494
_cell_length_b 9.1024
_cell_length_c 3.8655
_cell_angle_alpha 90.00
_cell_angle_beta 90.00
_cell_angle_gamma 90.00
_symmetry_space_group_name_H-M 'C m m m'
_symmetry_Int_Tables_number 65
_symmetry_space_group_name_Hall '-C 2 2'
loop_
_atom_site_label
_atom_site_fract_x
_atom_site_fract_y
_atom_site_fract_z
Tc1 0.0000 0.0000 0.0000
As1 0.0000 0.5000 0.0000
Se1 0.0000 0.1827 0.5000
# Energy relative to the elements, uncorrected ... -0.052 eV per formula unit
# Total DFT energy (no corrections) ... -5.51 eV per atom
# M_tot ... 0.0 Bohr magnetons per cell

---

[3]
# TcAsSe4 | Alexandria | PBE-GGA | optimized geometry
data_TcAsSe4
_chemical_formula_sum 'Tc4 As4 Se16'
_cell_length_a 7.9705
_cell_length_b 7.9705
_cell_length_c 7.9705
_cell_angle_alpha 90.00
_cell_angle_beta 90.00
_cell_angle_gamma 90.00
_symmetry_space_group_name_H-M 'F -4 3 m'
_symmetry_Int_Tables_number 216
_symmetry_space_group_name_Hall 'F -4 2 3'
loop_
_atom_site_label
_atom_site_fract_x
_atom_site_fract_y
_atom_site_fract_z
Tc1 0.0000 0.0000 0.0000
As1 0.2500 0.2500 0.7500
Se1 0.1255 0.1255 0.3745
# Energy relative to the elements, uncorrected ... 6.552 eV per formula unit
# Total DFT energy (no corrections) ... -3.73 eV per atom
# M_tot ... 14.6 Bohr magnetons per cell

---

[4]
# TcAsSe2 | Alexandria | PBE-GGA | optimized geometry
data_TcAsSe2
_chemical_formula_sum 'Tc2 As2 Se4'
_cell_length_a 8.8205
_cell_length_b 3.2422
_cell_length_c 6.5044
_cell_angle_alpha 90.00
_cell_angle_beta 107.06
_cell_angle_gamma 90.00
_symmetry_space_group_name_H-M 'C 1 m 1'
_symmetry_Int_Tables_number 8
loop_
_symmetry_equiv_pos_as_xyz
'x,y,z'
'x,-y,z'
'x+1/2,y+1/2,z'
'x+1/2,-y+1/2,z'
loop_
_atom_site_label
_atom_site_fract_x
_atom_site_fract_y
_atom_site_fract_z
Tc1 0.0000 0.0000 0.0000
As1 0.2734 0.0000 0.9521
Se1 0.0873 0.5000 0.3047
Se2 0.3857 0.0000 0.6572
# Energy relative to the elements, uncorrected ... -0.246 eV per formula unit
# Total DFT energy (no corrections) ... -5.56 eV per atom
# M_tot ... 0.0 Bohr magnetons per cell

---

[5]
# TcAsSe2 | Alexandria | PBE-GGA | optimized geometry
data_TcAsSe2
_chemical_formula_sum 'Tc4 As4 Se8'
_cell_length_a 6.3272
_cell_length_b 6.3272
_cell_length_c 9.7125
_cell_angle_alpha 90.00
_cell_angle_beta 90.00
_cell_angle_gamma 90.00
_symmetry_space_group_name_H-M 'I -4 2 d'
_symmetry_Int_Tables_number 122
_symmetry_space_group_name_Hall 'I -4 2bw'
loop_
_atom_site_label
_atom_site_fract_x
_atom_site_fract_y
_atom_site_fract_z
Tc1 0.0000 0.0000 0.0000
As1 0.0000 0.0000 0.5000
Se1 0.2088 0.2500 0.1250
# Energy relative to the elements, uncorrected ... 1.352 eV per formula unit
# Total DFT energy (no corrections) ... -5.16 eV per atom
# M_tot ... 0.0 Bohr magnetons per cell

---

[6]
# TcAsSe2 | Alexandria | PBE-GGA | optimized geometry
data_TcAsSe2
_chemical_formula_sum 'Tc2 As2 Se4'
_cell_length_a 4.2590
_cell_length_b 4.2590
_cell_length_c 7.5957
_cell_angle_alpha 90.00
_cell_angle_beta 90.00
_cell_angle_gamma 90.00
_symmetry_space_group_name_H-M 'I -4 m 2'
_symmetry_Int_Tables_number 119
_symmetry_space_group_name_Hall 'I -4 -2'
loop_
_atom_site_label
_atom_site_fract_x
_atom_site_fract_y
_atom_site_fract_z
Tc1 0.0000 0.0000 0.0000
As1 0.0000 0.5000 0.7500
Se1 0.0000 0.0000 0.5000
Se2 0.0000 0.5000 0.2500
# Energy relative to the elements, uncorrected ... 2.118 eV per formula unit
# Total DFT energy (no corrections) ... -4.97 eV per atom
# M_tot ... 0.0 Bohr magnetons per cell

---

[7]
# TcAsSe2 | Alexandria | PBE-GGA | optimized geometry
data_TcAsSe2
_chemical_formula_sum 'Tc4 As4 Se8'
_cell_length_a 6.4916
_cell_length_b 6.4916
_cell_length_c 6.4916
_cell_angle_alpha 90.00
_cell_angle_beta 90.00
_cell_angle_gamma 90.00
_symmetry_space_group_name_H-M 'F m -3 m'
_symmetry_Int_Tables_number 225
_symmetry_space_group_name_Hall '-F 4 2 3'
loop_
_atom_site_label
_atom_site_fract_x
_atom_site_fract_y
_atom_site_fract_z
Tc1 0.0000 0.0000 0.0000
As1 0.0000 0.0000 0.5000
Se1 0.2500 0.2500 0.2500
# Energy relative to the elements, uncorrected ... 1.642 eV per formula unit
# Total DFT energy (no corrections) ... -5.09 eV per atom
# M_tot ... 0.0 Bohr magnetons per cell

---

[8]
# TcAsSe2 | Alexandria | PBE-GGA | optimized geometry
data_TcAsSe2
_chemical_formula_sum 'Tc3 As3 Se6'
_cell_length_a 2.8228
_cell_length_b 2.8228
_cell_length_c 38.0285
_cell_angle_alpha 90.00
_cell_angle_beta 90.00
_cell_angle_gamma 120.00
_symmetry_space_group_name_H-M 'R -3 m'
_symmetry_Int_Tables_number 166
_symmetry_space_group_name_Hall '-R 3 2"'
loop_
_atom_site_label
_atom_site_fract_x
_atom_site_fract_y
_atom_site_fract_z
Tc1 0.0000 0.0000 0.0000
As1 0.0000 0.0000 0.5000
Se1 0.0000 0.0000 0.0652
# Energy relative to the elements, uncorrected ... 2.057 eV per formula unit
# Total DFT energy (no corrections) ... -4.98 eV per atom
# M_tot ... 0.0 Bohr magnetons per cell

---

[9]
# TcAsSe2 | Alexandria | PBE-GGA | optimized geometry
data_TcAsSe2
_chemical_formula_sum 'Tc1 As1 Se2'
_cell_length_a 2.9373
_cell_length_b 2.9373
_cell_length_c 10.0922
_cell_angle_alpha 90.00
_cell_angle_beta 90.00
_cell_angle_gamma 90.00
_symmetry_space_group_name_H-M 'P 4 m m'
_symmetry_Int_Tables_number 99
loop_
_symmetry_equiv_pos_as_xyz
'x,y,z'
'-y,x,z'
'-x,-y,z'
'y,-x,z'
'-x,y,z'
'y,x,z'
'x,-y,z'
'-y,-x,z'
loop_
_atom_site_label
_atom_site_fract_x
_atom_site_fract_y
_atom_site_fract_z
Tc1 0.0000 0.0000 0.0000
As1 0.5000 0.5000 0.1701
Se1 0.0000 0.0000 0.5135
Se2 0.5000 0.5000 0.8507
# Energy relative to the elements, uncorrected ... 0.104 eV per formula unit
# Total DFT energy (no corrections) ... -5.47 eV per atom
# M_tot ... 0.0 Bohr magnetons per cell

---

[10]
# TcAsSe2 | Alexandria | PBE-GGA | optimized geometry
data_TcAsSe2
_chemical_formula_sum 'Tc4 As4 Se8'
_cell_length_a 5.2871
_cell_length_b 7.5003
_cell_length_c 7.5312
_cell_angle_alpha 90.00
_cell_angle_beta 90.00
_cell_angle_gamma 90.00
_symmetry_space_group_name_H-M 'F m m m'
_symmetry_Int_Tables_number 69
_symmetry_space_group_name_Hall '-F 2 2'
loop_
_atom_site_label
_atom_site_fract_x
_atom_site_fract_y
_atom_site_fract_z
Tc1 0.0000 0.0000 0.0000
As1 0.0000 0.0000 0.5000
Se1 0.0000 0.2500 0.2500
# Energy relative to the elements, uncorrected ... 1.354 eV per formula unit
# Total DFT energy (no corrections) ... -5.16 eV per atom
# M_tot ... 2.8 Bohr magnetons per cell

---

[11]
# TcAsSe2 | Alexandria | PBE-GGA | optimized geometry
data_TcAsSe2
_chemical_formula_sum 'Tc2 As2 Se4'
_cell_length_a 3.0608
_cell_length_b 4.4331
_cell_length_c 11.8538
_cell_angle_alpha 90.00
_cell_angle_beta 90.00
_cell_angle_gamma 90.00
_symmetry_space_group_name_H-M 'I m m 2'
_symmetry_Int_Tables_number 44
loop_
_symmetry_equiv_pos_as_xyz
'x,y,z'
'-x,-y,z'
'-x,y,z'
'x,-y,z'
'x+1/2,y+1/2,z+1/2'
'-x+1/2,-y+1/2,z+1/2'
'-x+1/2,y+1/2,z+1/2'
'x+1/2,-y+1/2,z+1/2'
loop_
_atom_site_label
_atom_site_fract_x
_atom_site_fract_y
_atom_site_fract_z
Tc1 0.0000 0.0000 0.0000
As1 0.0000 0.5000 0.6803
Se1 0.0000 0.0000 0.5411
Se2 0.0000 0.5000 0.3323
# Energy relative to the elements, uncorrected ... 0.499 eV per formula unit
# Total DFT energy (no corrections) ... -5.37 eV per atom
# M_tot ... 0.0 Bohr magnetons per cell

---

[12]
# TcAsSe2 | Alexandria | PBE-GGA | optimized geometry
data_TcAsSe2
_chemical_formula_sum 'Tc1 As1 Se2'
_cell_length_a 2.9787
_cell_length_b 2.9787
_cell_length_c 8.8391
_cell_angle_alpha 90.00
_cell_angle_beta 90.00
_cell_angle_gamma 90.00
_symmetry_space_group_name_H-M 'P 4/m m m'
_symmetry_Int_Tables_number 123
_symmetry_space_group_name_Hall '-P 4 2'
loop_
_atom_site_label
_atom_site_fract_x
_atom_site_fract_y
_atom_site_fract_z
Tc1 0.0000 0.0000 0.0000
As1 0.0000 0.0000 0.5000
Se1 0.5000 0.5000 0.1794
# Energy relative to the elements, uncorrected ... 0.579 eV per formula unit
# Total DFT energy (no corrections) ... -5.35 eV per atom
# M_tot ... 0.0 Bohr magnetons per cell

---

[13]
# TcAsSe2 | Alexandria | PBE-GGA | optimized geometry
data_TcAsSe2
_chemical_formula_sum 'Tc1 As1 Se2'
_cell_length_a 3.2471
_cell_length_b 4.3753
_cell_length_c 5.0194
_cell_angle_alpha 90.00
_cell_angle_beta 90.00
_cell_angle_gamma 90.00
_symmetry_space_group_name_H-M 'P m m m'
_symmetry_Int_Tables_number 47
loop_
_symmetry_equiv_pos_as_xyz
'x,y,z'
'-x,-y,-z'
'-x,-y,z'
'x,y,-z'
'x,-y,-z'
'-x,y,z'
'-x,y,-z'
'x,-y,z'
loop_
_atom_site_label
_atom_site_fract_x
_atom_site_fract_y
_atom_site_fract_z
Tc1 0.0000 0.0000 0.0000
As1 0.5000 0.0000 0.5000
Se1 0.0000 0.5000 0.5000
Se2 0.5000 0.5000 0.0000
# Energy relative to the elements, uncorrected ... 2.484 eV per formula unit
# Total DFT energy (no corrections) ... -4.88 eV per atom
# M_tot ... 1.2 Bohr magnetons per cell

---

[14]
# TcAsSe2 | Alexandria | PBE-GGA | optimized geometry
data_TcAsSe2
_chemical_formula_sum 'Tc3 As3 Se6'
_cell_length_a 3.2985
_cell_length_b 3.2985
_cell_length_c 26.1850
_cell_angle_alpha 90.00
_cell_angle_beta 90.00
_cell_angle_gamma 120.00
_symmetry_space_group_name_H-M 'R 3 m'
_symmetry_Int_Tables_number 160
_symmetry_space_group_name_Hall 'R 3 -2"'
loop_
_atom_site_label
_atom_site_fract_x
_atom_site_fract_y
_atom_site_fract_z
Tc1 0.0000 0.0000 0.0000
As1 0.0000 0.0000 0.7399
Se1 0.0000 0.0000 0.2738
Se2 0.0000 0.0000 0.4747
# Energy relative to the elements, uncorrected ... -0.046 eV per formula unit
# Total DFT energy (no corrections) ... -5.51 eV per atom
# M_tot ... 0.0 Bohr magnetons per cell